Arrangement w

# ZrCrAs2, single point on PBEsol structure, DFT meta-GGA SCAN
# V	17.83	A^3/atom
# total moment	0.8367	μB/atom
data_ZrCrAs2
_chemical_formula_sum 'Zr4 Cr4 As8'
_cell_length_a 6.917
_cell_length_b 6.917
_cell_length_c 5.961
_cell_angle_alpha 90.00
_cell_angle_beta 90.00
_cell_angle_gamma 90.00
_space_group_name_H-M_alt 'I -4 2 d'
_space_group_IT_number 122
_space_group_name_Hall 'I -4 2bw'
loop_
_atom_site_label
_atom_site_type_symbol
_atom_site_fract_x
_atom_site_fract_y
_atom_site_fract_z
Zr1 Zr 0.000 0.000 0.000
Cr1 Cr 0.000 0.000 0.500
As1 As 0.218 0.250 0.625


Arrangement x

# ZrCrAs2, single point on PBEsol structure, DFT meta-GGA SCAN
# V	18.21	A^3/atom
# total moment	0.8681	μB/atom
data_ZrCrAs2
_chemical_formula_sum 'Zr1 Cr1 As2'
_cell_length_a 3.688
_cell_length_b 3.688
_cell_length_c 5.354
_cell_angle_alpha 90.00
_cell_angle_beta 90.00
_cell_angle_gamma 90.00
_space_group_name_H-M_alt 'P 4 m m'
_space_group_IT_number 99
loop_
_space_group_symop_operation_xyz
'x,y,z'
'-y,x,z'
'-x,-y,z'
'y,-x,z'
'-x,y,z'
'y,x,z'
'x,-y,z'
'-y,-x,z'
loop_
_atom_site_label
_atom_site_type_symbol
_atom_site_fract_x
_atom_site_fract_y
_atom_site_fract_z
Zr1 Zr 0.000 0.000 0.000
Cr1 Cr 0.500 0.500 0.601
As1 As 0.000 0.000 0.513
As2 As 0.500 0.500 0.093


Arrangement y

# ZrCrAs2, single point on PBEsol structure, DFT meta-GGA SCAN
# V	17.24	A^3/atom
# total moment	0.0001	μB/atom
data_ZrCrAs2
_chemical_formula_sum 'Zr3 Cr3 As6'
_cell_length_a 3.1495
_cell_length_b 3.1495
_cell_length_c 24.0768
_cell_angle_alpha 90.00
_cell_angle_beta 90.00
_cell_angle_gamma 120.00
_space_group_name_H-M_alt 'R 3 m'
_space_group_IT_number 160
_space_group_name_Hall 'R 3 -2"'
loop_
_atom_site_label
_atom_site_type_symbol
_atom_site_fract_x
_atom_site_fract_y
_atom_site_fract_z
Zr1 Zr 0.0000 0.0000 0.0000
Cr1 Cr 0.0000 0.0000 0.2500
As1 As 0.0000 0.0000 0.5188
As2 As 0.0000 0.0000 0.7556


Energy relative to the most stable one, in meV per atom: arrangement w 315; arrangement x 0; arrangement y 794